Entry from Alexandria via LeMat-Bulk: Li3MgIn at its PBEsol-relaxed geometry (meta-GGA SCAN).

Structure (extended XYZ):
```
5
Lattice="4.925 0.000 0.000 0.000 4.925 0.000 0.000 0.000 4.925" Properties=species:S:1:pos:R:3 pbc="T T T"
Li 0.000 0.000 2.463
Li 0.000 2.463 0.000
Li 2.463 0.000 0.000
Mg 0.000 0.000 0.000
In 2.463 2.463 2.463
```

Summary:
Final energy ... -8.755 eV per atom